No. 1
Compound: Na2SnGe2H2O8
Source: the Alexandria database
Functional: PBE
Structure: optimized geometry

Output
N(E_F): 0.000 states/eV per atom
space group: P-1, No. 2
VASP energy: -5.762 eV/atom

Cell: 5.6309 5.9547 11.5208 Å, 88.24 80.04 75.86°
Element x y z (fractional)
1 Na 0.4891 0.8257 0.1498
2 O 0.7892 0.0271 0.1667
3 O 0.2160 0.6786 0.0409
4 O 0.8577 0.4963 0.2109
5 Sn 0.0000 0.0000 0.0000
6 O 0.7840 0.3214 0.9591
7 O 0.1929 0.2671 0.5607
8 O 0.2108 0.9729 0.8333
9 O 0.2509 0.1688 0.0556
10 O 0.3370 0.7533 0.5985
11 O 0.8071 0.7329 0.4393
12 O 0.6681 0.0643 0.6390
13 Na 0.5109 0.1743 0.8502
14 Ge 0.1698 0.4404 0.1271
15 H 0.1598 0.0270 0.3743
16 O 0.3665 0.4420 0.2355
17 H 0.8056 0.6923 0.3574
18 Ge 0.8302 0.5596 0.8729
19 H 0.1944 0.3077 0.6426
20 O 0.6630 0.2467 0.4015
21 O 0.7491 0.8312 0.9444
22 Ge 0.6768 0.2829 0.2490
23 Na 0.2337 0.5852 0.4375
24 O 0.3319 0.9357 0.3610
25 Sn 0.5000 0.0000 0.5000
26 O 0.6335 0.5580 0.7645
27 O 0.1423 0.5037 0.7891
28 H 0.8402 0.9730 0.6257
29 Ge 0.3232 0.7171 0.7510
30 Na 0.7663 0.4148 0.5625


No. 2
Compound: NaGeP2H
Source: the Alexandria database
Functional: PBE
Structure: optimized geometry

Output
N(E_F): 0.643 states/eV per atom
space group: P4/mmm, No. 123
VASP energy: -3.107 eV/atom

Cell: 4.6736 5.8885 4.6736 Å, 90.00 90.00 90.00°
Last column: magnetic moment on the atom in μB.
Element x y z (fractional)
1 H 0.5000 0.5000 0.5000  0.26
2 Na 0.0000 0.5000 0.0000  0.00
3 Ge 0.0000 0.0000 0.0000  -0.01
4 P 0.0000 0.0000 0.5000  0.04
5 P 0.5000 0.0000 0.0000  0.08


No. 3
Compound: Na2GeHPb
Source: the Alexandria database
Functional: PBE
Structure: optimized geometry

Output
N(E_F): 0.272 states/eV per atom
space group: P4/mmm, No. 123
VASP energy: -2.855 eV/atom
energy above the lowest structure with this stoichiometry: 0.0000 eV per atom

Cell: 4.4661 4.4661 5.1000 Å, 90.00 90.00 90.00°
Element x y z (fractional)
1 Na 0.0000 0.5000 0.0000
2 Pb 0.0000 0.0000 0.5000
3 Ge 0.5000 0.5000 0.5000
4 H 0.0000 0.0000 0.0000
5 Na 0.5000 0.0000 0.0000


No. 4
Compound: Na2GeSbH
Source: the Alexandria database
Functional: PBE
Structure: optimized geometry

Output
N(E_F): 0.271 states/eV per atom
space group: P4/mmm, No. 123
VASP energy: -3.037 eV/atom

Cell: 4.5254 4.5254 4.7204 Å, 90.00 90.00 90.00°
Element x y z (fractional)
1 Ge 0.0000 0.0000 0.5000
2 Na 0.0000 0.5000 0.0000
3 Na 0.5000 0.0000 0.0000
4 Sb 0.5000 0.5000 0.5000
5 H 0.0000 0.0000 0.0000